[1]
# Rb2V2H | Alexandria via LeMat-Bulk | GGA-PBE | relaxed
# Uncorrected energy: -3.456 eV/atom
# Excess energy over the best structure of this formula in the dataset: 0.000 eV per atom
# Space group: I4/mmm
data_Rb2V2H
_space_group_name_H-M_alt 'P 1'
_space_group_IT_number 1
_space_group_name_Hall 'P 1'
_cell_length_a 6.958
_cell_length_b 6.958
_cell_length_c 5.810
_cell_angle_alpha 53.22
_cell_angle_beta 53.22
_cell_angle_gamma 90.00
loop_
_atom_site_label
_atom_site_fract_x
_atom_site_fract_y
_atom_site_fract_z
Rb1 0.750 0.250 0.500
Rb2 0.250 0.750 0.500
V1 0.354 0.354 0.292
H1 0.000 0.000 0.000
V2 0.646 0.646 0.708



[2]
# AgPb2 | Alexandria via LeMat-Bulk | GGA-PBE | relaxed
# Uncorrected energy: -3.239 eV/atom
# Space group: Pa-3
# ΔH_f (0 K): 0.18 eV/atom
data_AgPb2
_space_group_name_H-M_alt 'P 1'
_space_group_IT_number 1
_space_group_name_Hall 'P 1'
_cell_length_a 7.060
_cell_length_b 7.060
_cell_length_c 7.060
_cell_angle_alpha 90.00
_cell_angle_beta 90.00
_cell_angle_gamma 90.00
loop_
_atom_site_label
_atom_site_fract_x
_atom_site_fract_y
_atom_site_fract_z
Pb1 0.637 0.863 0.863
Pb2 0.863 0.363 0.863
Pb3 0.363 0.363 0.637
Pb4 0.137 0.863 0.637
Pb5 0.637 0.637 0.363
Ag1 0.000 0.500 0.500
Pb6 0.363 0.137 0.137
Ag2 0.000 0.000 0.000
Ag3 0.500 0.500 0.000
Pb7 0.863 0.137 0.363
Pb8 0.137 0.637 0.137
Ag4 0.500 0.000 0.500



[3]
# TbTmAlAu | Alexandria via LeMat-Bulk | GGA-PBE | relaxed
# Uncorrected energy: -4.657 eV/atom
# Excess energy over the best structure of this formula in the dataset: 0.000 eV per atom
# Space group: P4mm
# ΔH_f (0 K): -0.63 eV/atom
data_TbTmAlAu
_space_group_name_H-M_alt 'P 1'
_space_group_IT_number 1
_space_group_name_Hall 'P 1'
_cell_length_a 3.544
_cell_length_b 3.544
_cell_length_c 7.409
_cell_angle_alpha 90.00
_cell_angle_beta 90.00
_cell_angle_gamma 90.00
loop_
_atom_site_label
_atom_site_fract_x
_atom_site_fract_y
_atom_site_fract_z
Au1 0.500 0.500 0.623
Al1 0.500 0.500 0.099
Tb1 0.000 0.000 0.360
Tm1 0.000 0.000 0.847



[4]
# NaLi2CaPd | Alexandria via LeMat-Bulk | GGA-PBE | relaxed
# Uncorrected energy: -2.583 eV/atom
# Space group: P4/mmm
# ΔH_f (0 K): -0.12 eV/atom
data_NaLi2CaPd
_space_group_name_H-M_alt 'P 1'
_space_group_IT_number 1
_space_group_name_Hall 'P 1'
_cell_length_a 5.104
_cell_length_b 5.104
_cell_length_c 5.414
_cell_angle_alpha 90.00
_cell_angle_beta 90.00
_cell_angle_gamma 90.00
loop_
_atom_site_label
_atom_site_fract_x
_atom_site_fract_y
_atom_site_fract_z
Na1 0.500 0.500 0.500
Li1 0.000 0.500 0.000
Ca1 0.000 0.000 0.500
Pd1 0.000 0.000 0.000
Li2 0.500 0.000 0.000



[5]
# Sm2Ho2Sc3 | Alexandria via LeMat-Bulk | GGA-PBE | relaxed
# Uncorrected energy: -5.221 eV/atom
# Excess energy over the best structure of this formula in the dataset: 0.045 eV per atom
# Space group: C2/m
# ΔH_f (0 K): 0.15 eV/atom
data_Sm2Ho2Sc3
_space_group_name_H-M_alt 'P 1'
_space_group_IT_number 1
_space_group_name_Hall 'P 1'
_cell_length_a 3.396
_cell_length_b 8.254
_cell_length_c 8.621
_cell_angle_alpha 118.67
_cell_angle_beta 101.36
_cell_angle_gamma 90.00
loop_
_atom_site_label
_atom_site_fract_x
_atom_site_fract_y
_atom_site_fract_z
Sc1 0.212 0.804 0.424
Ho1 0.150 0.336 0.300
Sc2 0.000 0.500 0.000
Sm1 0.431 0.094 0.862
Sm2 0.569 0.906 0.138
Sc3 0.788 0.196 0.576
Ho2 0.850 0.664 0.700



[6]
# Li3NbSe4 | Alexandria via LeMat-Bulk | GGA-PBE | relaxed
# Uncorrected energy: -4.711 eV/atom
# Space group: Pmn2_1
data_Li3NbSe4
_space_group_name_H-M_alt 'P 1'
_space_group_IT_number 1
_space_group_name_Hall 'P 1'
_cell_length_a 6.783
_cell_length_b 7.290
_cell_length_c 8.374
_cell_angle_alpha 90.00
_cell_angle_beta 90.00
_cell_angle_gamma 90.00
loop_
_atom_site_label
_atom_site_fract_x
_atom_site_fract_y
_atom_site_fract_z
Se1 0.117 0.331 0.239
Se2 0.117 0.331 0.761
Li1 0.001 0.673 0.246
Li2 0.501 0.327 0.746
Nb1 0.003 0.174 0.000
Se3 0.647 0.177 0.000
Li3 0.001 0.673 0.754
Se4 0.617 0.669 0.261
Li4 0.509 0.846 0.000
Li5 0.009 0.154 0.500
Se5 0.147 0.823 0.500
Nb2 0.503 0.826 0.500
Se6 0.120 0.860 0.000
Se7 0.620 0.140 0.500
Se8 0.617 0.669 0.739
Li6 0.501 0.327 0.254



Question: Which value of uncorrected energy does entry 6 give?
Answer: -4.711 eV/atom



Question: What is the uncorrected energy in the sixth record?
Answer: -4.711 eV/atom